TaAuCl2 after structural relaxation. Source: Alexandria, functional GGA-PBEsol.

Cell: 3.2416 3.2416 25.2050 Å, 90.00 90.00 120.00°
Space group R3m (No. 160, hexagonal axes)
One atom of each set of equivalent atoms:
Ta  0.0000  0.0000  0.0000 x3
Au  0.0000  0.0000  0.2546 x3
Cl  0.0000  0.0000  0.5153 x3
Cl  0.0000  0.0000  0.7332 x3

Output
Formation energy from raw total energies: -0.42 eV/atom
Offset from the most stable computed form: 0 meV/atom

TcAu2Cl after structural relaxation. Source: Alexandria, functional GGA-PBEsol.

Cell: 3.770 3.770 4.876 Å, 90.00 90.00 90.00°
Space group P4/mmm (No. 123)
One atom of each set of equivalent atoms:
Tc  0.000  0.000  0.000 x1
Au  0.000  0.500  0.500 x2
Cl  0.500  0.500  0.000 x1

Output
Formation energy from raw total energies: 0.76 eV/atom
Offset from the most stable computed form: 624 meV/atom

TcAuCl3 after structural relaxation. Source: Alexandria, functional GGA-PBEsol.

Cell: 4.949 4.949 4.949 Å, 90.00 90.00 90.00°
Space group Pm-3m (No. 221)
One atom of each set of equivalent atoms:
Tc  0.000  0.000  0.000 x1
Au  0.500  0.500  0.500 x1
Cl  0.000  0.500  0.500 x3

Output
Formation energy from raw total energies: 0.78 eV/atom

TcAuCl2 after structural relaxation. Source: Alexandria, functional GGA-PBEsol.

Cell: 2.839 4.073 5.982 Å, 90.00 103.41 90.00°
Space group P2/m (No. 10)
One atom of each set of equivalent atoms:
Tc  0.000  0.000  0.000 x1
Au  0.000  0.000  0.500 x1
Cl  0.165  0.500  0.230 x2

Output
Formation energy from raw total energies: 0.41 eV/atom
Offset from the most stable computed form: 0 meV/atom

TcAu2Cl after structural relaxation. Source: Alexandria, functional GGA-PBEsol.

Cell: 6.502 6.502 6.502 Å, 90.00 90.00 90.00°
Space group F-43m (No. 216)
One atom of each set of equivalent atoms:
Tc  0.000  0.000  0.000 x4
Au  0.000  0.000  0.500 x4
Au  0.250  0.250  0.250 x4
Cl  0.250  0.250  0.750 x4

Output
Formation energy from raw total energies: 0.73 eV/atom
Offset from the most stable computed form: 594 meV/atom

TcAu2Cl after structural relaxation. Source: Alexandria, functional GGA-PBEsol.

Cell: 3.773 3.773 9.828 Å, 90.00 90.00 90.00°
Space group I4/mmm (No. 139)
One atom of each set of equivalent atoms:
Tc  0.000  0.000  0.000 x2
Au  0.000  0.500  0.250 x4
Cl  0.000  0.000  0.500 x2

Output
Formation energy from raw total energies: 0.76 eV/atom
Offset from the most stable computed form: 623 meV/atom

TcAu2Cl after structural relaxation. Source: Alexandria, functional GGA-PBEsol.

Cell: 2.904 2.904 7.917 Å, 90.00 90.00 90.00°
Space group P4/mmm (No. 123)
One atom of each set of equivalent atoms:
Tc  0.000  0.000  0.000 x1
Au  0.500  0.500  0.233 x2
Cl  0.000  0.000  0.500 x1

Output
Formation energy from raw total energies: 0.45 eV/atom
Offset from the most stable computed form: 308 meV/atom

TcAuCl2 after structural relaxation. Source: Alexandria, functional GGA-PBEsol.

Cell: 5.951 8.367 3.087 Å, 90.00 114.95 90.00°
Space group C2/m (No. 12)
One atom of each set of equivalent atoms:
Tc  0.000  0.000  0.000 x2
Au  0.000  0.500  0.000 x2
Cl  0.250  0.250  0.000 x4

Output
Formation energy from raw total energies: 0.56 eV/atom
Offset from the most stable computed form: 148 meV/atom

TcAu2Cl after structural relaxation. Source: Alexandria, functional GGA-PBEsol.

Cell: 2.9096 2.9096 27.5070 Å, 90.00 90.00 120.00°
Space group R3m (No. 160, hexagonal axes)
One atom of each set of equivalent atoms:
Tc  0.0000  0.0000  0.0000 x3
Au  0.0000  0.0000  0.2542 x3
Au  0.0000  0.0000  0.5030 x3
Cl  0.0000  0.0000  0.7284 x3

Output
Formation energy from raw total energies: 0.14 eV/atom
Offset from the most stable computed form: 0 meV/atom

Tl2TcAuCl after structural relaxation. Source: Alexandria, functional GGA-PBEsol.

Cell: 5.321 5.321 4.783 Å, 90.00 90.00 90.00°
Space group P4/mmm (No. 123)
One atom of each set of equivalent atoms:
Tl  0.000  0.500  0.000 x2
Tc  0.000  0.000  0.000 x1
Au  0.000  0.000  0.500 x1
Cl  0.500  0.500  0.500 x1

Output
Formation energy from raw total energies: 0.51 eV/atom

TeAuCl2 after structural relaxation. Source: Alexandria, functional GGA-PBEsol.

Cell: 4.332 4.332 4.404 Å, 90.00 90.00 90.00°
Space group P4/mmm (No. 123)
One atom of each set of equivalent atoms:
Te  0.000  0.000  0.000 x1
Au  0.500  0.500  0.000 x1
Cl  0.000  0.500  0.500 x2

Output
Formation energy from raw total energies: 0.38 eV/atom
Offset from the most stable computed form: 484 meV/atom

Te3AuCl after structural relaxation. Source: Alexandria, functional GGA-PBEsol.

Cell: 5.222 5.222 5.222 Å, 90.00 90.00 90.00°
Space group Pm-3m (No. 221)
One atom of each set of equivalent atoms:
Te  0.000  0.000  0.500 x3
Au  0.500  0.500  0.500 x1
Cl  0.000  0.000  0.000 x1

Output
Formation energy from raw total energies: 0.99 eV/atom

TeAuCl after structural relaxation. Source: Alexandria, functional GGA-PBEsol.

Cell: 3.924 3.924 10.765 Å, 90.00 90.00 90.00°
Space group I4mm (No. 107)
One atom of each set of equivalent atoms:
Te  0.000  0.000  0.000 x2
Au  0.000  0.000  0.488 x2
Cl  0.000  0.000  0.229 x2

Output
Formation energy from raw total energies: -0.03 eV/atom

TeAuCl2 after structural relaxation. Source: Alexandria, functional GGA-PBEsol.

Cell: 3.702 6.481 8.413 Å, 90.00 90.00 90.00°
Space group Imm2 (No. 44)
One atom of each set of equivalent atoms:
Te  0.000  0.000  0.000 x2
Au  0.000  0.500  0.719 x2
Cl  0.000  0.000  0.412 x2
Cl  0.000  0.500  0.245 x2

Output
Formation energy from raw total energies: -0.10 eV/atom
Offset from the most stable computed form: 0 meV/atom

TeAu4Cl after structural relaxation. Source: Alexandria, functional GGA-PBEsol.

Cell: 7.793 7.793 7.793 Å, 90.00 90.00 90.00°
Space group F-43m (No. 216)
One atom of each set of equivalent atoms:
Te  0.000  0.000  0.000 x4
Au  0.125  0.125  0.375 x16
Cl  0.250  0.250  0.750 x4

Output
Formation energy from raw total energies: 0.23 eV/atom

TiW2AuCl after structural relaxation. Source: Alexandria, functional GGA-PBEsol.

Cell: 4.866 4.866 4.921 Å, 90.00 90.00 90.00°
Space group P4/mmm (No. 123)
One atom of each set of equivalent atoms:
Ti  0.000  0.000  0.000 x1
W  0.000  0.500  0.500 x2
Au  0.000  0.000  0.500 x1
Cl  0.500  0.500  0.000 x1

Output
Formation energy from raw total energies: 2.23 eV/atom

TlAu2Cl after structural relaxation. Source: Alexandria, functional GGA-PBEsol.

Cell: 3.837 3.837 5.735 Å, 90.00 90.00 90.00°
Space group P4/mmm (No. 123)
One atom of each set of equivalent atoms:
Tl  0.000  0.000  0.000 x1
Au  0.500  0.500  0.242 x2
Cl  0.000  0.000  0.500 x1

Output
Formation energy from raw total energies: 0.14 eV/atom
Offset from the most stable computed form: 109 meV/atom

TlAu2Cl after structural relaxation. Source: Alexandria, functional GGA-PBEsol.

Cell: 3.925 3.925 5.707 Å, 90.00 90.00 90.00°
Space group P4/mmm (No. 123)
One atom of each set of equivalent atoms:
Tl  0.000  0.000  0.000 x1
Au  0.000  0.500  0.500 x2
Cl  0.500  0.500  0.000 x1

Output
Formation energy from raw total energies: 0.03 eV/atom
Offset from the most stable computed form: 0 meV/atom

Tl4AuCl after structural relaxation. Source: Alexandria, functional GGA-PBEsol.

Cell: 8.733 8.733 8.733 Å, 90.00 90.00 90.00°
Space group F-43m (No. 216)
One atom of each set of equivalent atoms:
Tl  0.125  0.125  0.125 x16
Au  0.000  0.000  0.500 x4
Cl  0.250  0.250  0.750 x4

Output
Formation energy from raw total energies: 0.11 eV/atom

TlAuCl2 after structural relaxation. Source: Alexandria, functional GGA-PBEsol.

Cell: 7.064 7.064 7.064 Å, 90.00 90.00 90.00°
Space group Fm-3m (No. 225)
One atom of each set of equivalent atoms:
Tl  0.000  0.000  0.000 x4
Au  0.000  0.000  0.500 x4
Cl  0.250  0.250  0.250 x8

Output
Formation energy from raw total energies: -0.15 eV/atom
Offset from the most stable computed form: 332 meV/atom